(1)
Material: Hf5MgSb3
Method: DFT, PBE
State: relaxed

Cell and atoms, written as CIF:
```
data_Hf5MgSb3
_chemical_formula_sum 'Hf10 Mg2 Sb6'
_symmetry_space_group_name_H-M 'P 63/m c m'
_symmetry_Int_Tables_number 193
_symmetry_space_group_name_Hall '-P 6c 2'
_cell_length_a 8.6690
_cell_length_b 8.6690
_cell_length_c 5.8371
_cell_angle_alpha 90.00
_cell_angle_beta 90.00
_cell_angle_gamma 120.00
loop_
_atom_site_label
_atom_site_type_symbol
_atom_site_fract_x
_atom_site_fract_y
_atom_site_fract_z
Hf1 Hf 0.0000 0.2876 0.2500
Hf2 Hf 0.3333 0.6667 0.0000
Mg1 Mg 0.0000 0.0000 0.0000
Sb1 Sb 0.0000 0.3759 0.7500
```

## Properties
The calculated volume comes out at 21.11 Å³ per atom. As for the total magnetic moment: 0.00 μB per atom. For the total DFT energy (no corrections), the calculation gives -7.41 eV per atom.



(2)
Material: HoZr3Te2C2
Method: DFT, PBE
State: relaxed

Cell and atoms, written as CIF:
```
data_HoZr3Te2C2
_chemical_formula_sum 'Ho1 Zr3 Te2 C2'
_symmetry_space_group_name_H-M 'P 3 m 1'
_symmetry_Int_Tables_number 156
_symmetry_space_group_name_Hall 'P 3 -2"'
_cell_length_a 3.5961
_cell_length_b 3.5961
_cell_length_c 13.6076
_cell_angle_alpha 90.00
_cell_angle_beta 90.00
_cell_angle_gamma 120.00
loop_
_atom_site_label
_atom_site_type_symbol
_atom_site_fract_x
_atom_site_fract_y
_atom_site_fract_z
Ho1 Ho 0.0000 0.0000 0.0000
Zr1 Zr 0.0000 0.0000 0.6747
Zr2 Zr 0.6667 0.3333 0.1854
Zr3 Zr 0.6667 0.3333 0.5013
Te1 Te 0.0000 0.0000 0.3439
Te2 Te 0.6667 0.3333 0.8292
C1 C 0.3333 0.6667 0.1010
C2 C 0.3333 0.6667 0.5881
```

## Properties
The calculated volume comes out at 19.05 Å³ per atom. As for the total magnetic moment: 0.00 μB per atom. For the total DFT energy (no corrections), the calculation gives -7.75 eV per atom.



- The lowest calculated volume belongs to which entry?
  HoZr3Te2C2



- Which of these has the highest calculated volume?
  Hf5MgSb3



- The highest calculated volume belongs to which entry?
  Hf5MgSb3